1.
The following is a DFT calculation (PBE) of a relaxed structure of PaCSe.

Structure (CIF):
```
data_PaCSe
_chemical_formula_sum 'Pa4 C4 Se4'
_space_group_name_H-M_alt 'I 4/m m m'
_space_group_IT_number 139
_space_group_name_Hall '-I 4 2'
_cell_length_a 3.761
_cell_length_b 3.761
_cell_length_c 16.153
_cell_angle_alpha 90.00
_cell_angle_beta 90.00
_cell_angle_gamma 90.00
loop_
_atom_site_label
_atom_site_type_symbol
_atom_site_fract_x
_atom_site_fract_y
_atom_site_fract_z
_atom_site_occupancy
Pa1 Pa 0.000 0.000 0.099 1
C1 C 0.000 0.500 0.000 1
Se1 Se 0.000 0.000 0.322 1
```

=====

2.
The following is a DFT calculation (PBE) of a relaxed structure of Pa3CSe2.

Structure (CIF):
```
data_Pa3CSe2
_chemical_formula_sum 'Pa12 C4 Se8'
_space_group_name_H-M_alt 'C 1 2/c 1'
_space_group_IT_number 15
_cell_length_a 7.102
_cell_length_b 11.609
_cell_length_c 6.549
_cell_angle_alpha 90.00
_cell_angle_beta 108.64
_cell_angle_gamma 90.00
loop_
_space_group_symop_operation_xyz
'x,y,z'
'-x,-y,-z'
'-x,y,-z+1/2'
'x,-y,z+1/2'
'x+1/2,y+1/2,z'
'-x+1/2,-y+1/2,-z'
'-x+1/2,y+1/2,-z+1/2'
'x+1/2,-y+1/2,z+1/2'
loop_
_atom_site_label
_atom_site_type_symbol
_atom_site_fract_x
_atom_site_fract_y
_atom_site_fract_z
_atom_site_occupancy
Pa1 Pa 0.203 0.072 0.498 1
Pa2 Pa 0.250 0.250 0.000 1
C1 C 0.000 0.085 0.750 1
Se1 Se 0.000 0.266 0.250 1
Se2 Se 0.000 0.421 0.750 1
```

=====

3.
The following is a DFT calculation (PBE) of a relaxed structure of Pa5CSe4.

Structure (CIF):
```
data_Pa5CSe4
_chemical_formula_sum 'Pa10 C2 Se8'
_space_group_name_H-M_alt 'I 4/m m m'
_space_group_IT_number 139
_space_group_name_Hall '-I 4 2'
_cell_length_a 3.990
_cell_length_b 3.990
_cell_length_c 28.247
_cell_angle_alpha 90.00
_cell_angle_beta 90.00
_cell_angle_gamma 90.00
loop_
_atom_site_label
_atom_site_type_symbol
_atom_site_fract_x
_atom_site_fract_y
_atom_site_fract_z
_atom_site_occupancy
Pa1 Pa 0.000 0.000 0.000 1
Pa2 Pa 0.000 0.000 0.204 1
Pa3 Pa 0.000 0.000 0.416 1
C1 C 0.000 0.000 0.500 1
Se1 Se 0.000 0.000 0.102 1
Se2 Se 0.000 0.000 0.308 1
```

=====

Number 1: energy above the most stable polymorph in this dataset 419 meV per atom, uncorrected formation energy -472 meV/atom. Number 2: energy above the most stable polymorph in this dataset 36 meV per atom, uncorrected formation energy -916 meV/atom. Number 3: energy above the most stable polymorph in this dataset 40 meV per atom, uncorrected formation energy -994 meV/atom.